! Sc2Zn2Ga (PBE, relaxed); values from VASP
! - space-group type = I4/mmm, No. 139
! - crystal system = tetragonal
! - theoretical density (g cm⁻³) = 4.5
! - energy of formation from the pure elements (eV per atom) = 0.10
! - E (eV per atom) = -3.5457
&SYSTEM
  ibrav = 0, nat = 5, ntyp = 3
/
ATOMIC_SPECIES
Zn 65.41 Zn.upf
Ga 69.72 Ga.upf
Sc 44.96 Sc.upf
ATOMIC_POSITIONS angstrom
Zn 4.3218 4.3218 4.5527
Zn 2.1609 2.1609 1.1499
Ga 0.0000 0.0000 0.0000
Sc 4.3218 2.1609 2.8513
Sc 2.1609 4.3218 2.8513
CELL_PARAMETERS angstrom
4.3218 0.0000 0.0000
0.0000 4.3218 0.0000
2.1609 2.1609 5.7025